(1)
Material: Pa2BAs
Method: DFT, PBE
State: relaxed

Summary:
- energy of formation from the pure elements (kJ/mol of formula units) = -222

Lattice parameters (Å, degrees): 3.8762 3.8762 19.6610 90.00 90.00 120.00
Space group R-3m (No. 166, hexagonal axes)
Unique sites:
Pa (0.0000, 0.0000, 0.2373) [6 per cell]
B (0.0000, 0.0000, 0.5000) [3 per cell]
As (0.0000, 0.0000, 0.0000) [3 per cell]

---

(2)
Material: InCoAs2
Method: DFT, PBE
State: relaxed

Summary:
- energy of formation from the pure elements (kJ/mol of formula units) = 7

Lattice parameters (Å, degrees): 5.8091 5.8091 11.0520 90.00 90.00 90.00
Space group I-42d (No. 122)
Unique sites:
In (0.0000, 0.0000, 0.0000) [4 per cell]
Co (0.0000, 0.0000, 0.5000) [4 per cell]
As (0.1767, 0.2500, 0.6250) [8 per cell]

---

(3)
Material: Rb4Nd3PaO8
Method: DFT, PBE
State: relaxed

Summary:
- uncorrected formation energy (eV/atom) = -2.50

Lattice parameters (Å, degrees): 7.3488 7.3488 19.9298 90.00 90.00 120.00
Space group R-3m (No. 166, hexagonal axes)
Unique sites:
Rb (0.0000, 0.0000, 0.0000) [3 per cell]
Rb (0.0000, 0.5000, 0.0000) [9 per cell]
Nd (0.0000, 0.5000, 0.5000) [9 per cell]
Pa (0.0000, 0.0000, 0.5000) [3 per cell]
O (0.0000, 0.0000, 0.2237) [6 per cell]
O (0.0204, 0.5102, 0.2243) [18 per cell]

---

(4)
Material: LiPm2Be2O6
Method: DFT, PBE
State: relaxed

Summary:
- uncorrected formation energy (eV/atom) = -2.48

Lattice parameters (Å, degrees): 5.2432 5.2432 15.5832 90.00 90.00 120.00
Space group R-3m (No. 166, hexagonal axes)
Unique sites:
Li (0.0000, 0.0000, 0.0000) [3 per cell]
Pm (0.0000, 0.0000, 0.2135) [6 per cell]
Be (0.0000, 0.0000, 0.4240) [6 per cell]
O (0.0010, 0.5005, 0.7579) [18 per cell]

---

(5)
Material: TmHIr3
Method: DFT, PBE
State: relaxed

Summary:
- energy (eV/f.u.) = -36.4

Lattice parameters (Å, degrees): 4.0722 4.0722 4.0722 90.00 90.00 90.00
Space group Pm-3m (No. 221)
Unique sites:
Tm (0.0000, 0.0000, 0.0000) [1 per cell]
H (0.5000, 0.5000, 0.5000) [1 per cell]
Ir (0.0000, 0.5000, 0.5000) [3 per cell]

---

(6)
Material: CaTlInPd
Method: DFT, PBE
State: relaxed

Summary:
- energy of formation from the pure elements (kJ/mol of formula units) = -141

Lattice parameters (Å, degrees): 7.1866 7.1866 7.1866 90.00 90.00 90.00
Space group F-43m (No. 216)
Unique sites:
Ca (0.0000, 0.0000, 0.0000) [4 per cell]
Tl (0.2500, 0.2500, 0.2500) [4 per cell]
In (0.0000, 0.0000, 0.5000) [4 per cell]
Pd (0.2500, 0.2500, 0.7500) [4 per cell]

---

(7)
Material: TlCdC2O
Method: DFT, PBE
State: relaxed

Summary:
- uncorrected formation energy (eV/atom) = 2.23

Lattice parameters (Å, degrees): 4.4336 4.4336 4.3723 90.00 90.00 90.00
Space group P4/mmm (No. 123)
Unique sites:
Tl (0.0000, 0.0000, 0.0000) [1 per cell]
Cd (0.5000, 0.5000, 0.5000) [1 per cell]
C (0.0000, 0.5000, 0.0000) [2 per cell]
O (0.0000, 0.0000, 0.5000) [1 per cell]

---

(8)
Material: CuTeIr2
Method: DFT, PBE
State: relaxed

Summary:
- uncorrected formation energy (eV/atom) = 0.37

Lattice parameters (Å, degrees): 4.1281 4.1281 3.6931 90.00 90.00 90.00
Space group P4/mmm (No. 123)
Unique sites:
Cu (0.0000, 0.0000, 0.0000) [1 per cell]
Te (0.5000, 0.5000, 0.0000) [1 per cell]
Ir (0.0000, 0.5000, 0.5000) [2 per cell]

---

(9)
Material: Mo2PAu
Method: DFT, PBE
State: relaxed

Summary:
- energy of formation from the pure elements (kJ/mol of formula units) = 59

Lattice parameters (Å, degrees): 8.9715 3.0449 4.8685 90.00 91.29 90.00
Space group Cm (No. 8)
Unique sites:
Mo (0.0000, 0.0000, 0.0000) [2 per cell]
Mo (0.2279, 0.5000, 0.7520) [2 per cell]
P (0.2694, 0.0000, 0.1236) [2 per cell]
Au (0.4563, 0.0000, 0.4944) [2 per cell]

---

(10)
Material: Pm3YTl4Te8
Method: DFT, PBE
State: relaxed

Summary:
- uncorrected formation energy (eV/atom) = -1.07

Lattice parameters (Å, degrees): 9.0444 9.0444 24.5388 90.00 90.00 120.00
Space group R-3m (No. 166, hexagonal axes)
Unique sites:
Pm (0.0000, 0.5000, 0.0000) [9 per cell]
Y (0.0000, 0.0000, 0.0000) [3 per cell]
Tl (0.0000, 0.0000, 0.5000) [3 per cell]
Tl (0.0000, 0.5000, 0.5000) [9 per cell]
Te (0.0000, 0.0000, 0.2600) [6 per cell]
Te (0.0051, 0.5025, 0.7390) [18 per cell]

---

(11)
Material: Gd2HgF
Method: DFT, PBE
State: relaxed

Summary:
- uncorrected formation energy (eV/atom) = -1.30

Lattice parameters (Å, degrees): 3.8657 3.8657 21.7086 90.00 90.00 120.00
Space group R-3m (No. 166, hexagonal axes)
Unique sites:
Gd (0.0000, 0.0000, 0.2309) [6 per cell]
Hg (0.0000, 0.0000, 0.0000) [3 per cell]
F (0.0000, 0.0000, 0.5000) [3 per cell]

---

(12)
Material: Pr2Y7Tm2
Method: DFT, PBE
State: relaxed

Summary:
- energy of formation from the pure elements (kJ/mol of formula units) = 170
- energy above the most stable polymorph in this dataset (kJ per mole of atoms) = 0.0

Lattice parameters (Å, degrees): 11.2147 11.7022 6.0748 90.00 113.19 90.00
Space group C2/m (No. 12)
Unique sites:
Pr (0.0000, 0.2099, 0.0000) [4 per cell]
Y (0.0000, 0.0000, 0.5000) [2 per cell]
Y (0.0928, 0.5000, 0.3080) [4 per cell]
Y (0.1729, 0.2382, 0.6766) [8 per cell]
Tm (0.2344, 0.0000, 0.0815) [4 per cell]